1.
Compound: ThPa
Source: Alexandria
Functional: PBE
Structure: optimized geometry Values from VASP.

Computed properties:
ΔE_f: 0.6 eV per formula unit
density: 13.5 g/cm3
calculated volume: 28.470 Å³ per atom
symmetry: Pm-3m (221)
Fermi-level density of states: 5.61 states/eV/f.u.
energy above the most stable polymorph in this dataset: 0.247 eV per atom

Geometry as Quantum ESPRESSO input:
```
&SYSTEM
  ibrav = 0, nat = 2, ntyp = 2
/
ATOMIC_SPECIES
Th 232.04 Th.upf
Pa 231.04 Pa.upf
CELL_PARAMETERS angstrom
-3.113 2.196 -0.537
-1.522 -1.361 3.261
1.671 2.851 1.970
ATOMIC_POSITIONS angstrom
Th -1.482 1.843 2.347
Pa 0.000 0.000 0.000
```


2.
Compound: Ca2AlHgCl
Source: Alexandria
Functional: PBE
Structure: optimized geometry Values from VASP.

Computed properties:
E_form (uncorrected): 0.119 eV per atom
density: 2.9 g/cm3
calculated volume: 39.268 Å³ per atom
symmetry: P4/mmm (123)
Fermi-level density of states: 4.12 states/eV/f.u.

Geometry as Quantum ESPRESSO input:
```
&SYSTEM
  ibrav = 0, nat = 5, ntyp = 4
/
ATOMIC_SPECIES
Ca 40.08 Ca.upf
Cl 35.45 Cl.upf
Al 26.98 Al.upf
Hg 200.59 Hg.upf
CELL_PARAMETERS angstrom
5.842 0.000 0.000
0.000 5.752 0.000
0.000 0.000 5.842
ATOMIC_POSITIONS angstrom
Ca 2.921 0.000 0.000
Ca 0.000 0.000 2.921
Cl 0.000 2.876 0.000
Al 2.921 2.876 2.921
Hg 0.000 0.000 0.000
```


3.
Compound: Ti8AlSb2
Source: Alexandria
Functional: PBE
Structure: optimized geometry Values from VASP.

Computed properties:
E_form (uncorrected): -0.302 eV per atom
density: 5.5 g/cm3
calculated volume: 17.949 Å³ per atom
symmetry: C2/m (12)
Fermi-level density of states: 13.64 states/eV/f.u.

Geometry as Quantum ESPRESSO input:
```
&SYSTEM
  ibrav = 0, nat = 11, ntyp = 3
/
ATOMIC_SPECIES
Ti 47.87 Ti.upf
Sb 121.76 Sb.upf
Al 26.98 Al.upf
CELL_PARAMETERS angstrom
-2.353 0.819 3.060
-5.562 -1.763 -3.805
3.937 -6.510 2.227
ATOMIC_POSITIONS angstrom
Ti 1.359 -4.143 2.154
Sb -1.455 -3.729 2.424
Ti 0.039 -5.618 4.079
Al -1.177 0.410 1.530
Ti -3.637 -5.427 1.201
Ti -5.337 -3.311 -0.673
Ti -0.779 -6.099 1.034
Ti -3.199 -1.355 0.447
Ti -0.341 -2.027 0.281
Ti -4.017 -1.836 -2.597
Sb -2.523 -3.725 -0.943
```


4.
Compound: Nd2HoCo
Source: Alexandria
Functional: PBE
Structure: optimized geometry Values from VASP.

Computed properties:
ΔE_f: 0.3 eV per formula unit
density: 7.7 g/cm3
calculated volume: 27.559 Å³ per atom
symmetry: P4/mmm (123)
Fermi-level density of states: 5.30 states/eV/f.u.
energy above the most stable polymorph in this dataset: 0.170 eV per atom

Geometry as Quantum ESPRESSO input:
```
&SYSTEM
  ibrav = 0, nat = 4, ntyp = 3
/
ATOMIC_SPECIES
Co 58.93 Co.upf
Nd 144.24 Nd.upf
Ho 164.93 Ho.upf
CELL_PARAMETERS angstrom
3.534 0.000 0.000
0.000 3.534 0.000
0.000 0.000 8.829
ATOMIC_POSITIONS angstrom
Co 1.767 1.767 0.000
Nd 0.000 0.000 7.133
Ho 1.767 1.767 4.414
Nd 0.000 0.000 1.696
```


5.
Compound: MgAuBr2
Source: Alexandria
Functional: PBE
Structure: optimized geometry Values from VASP.

Computed properties:
E_form (uncorrected): -0.553 eV per atom
density: 5.1 g/cm3
calculated volume: 31.232 Å³ per atom
symmetry: Immm (71)
Fermi-level density of states: 1.56 states/eV/f.u.
energy above the most stable polymorph in this dataset: 0.072 eV per atom

Geometry as Quantum ESPRESSO input:
```
&SYSTEM
  ibrav = 0, nat = 4, ntyp = 3
/
ATOMIC_SPECIES
Mg 24.30 Mg.upf
Br 79.90 Br.upf
Au 196.97 Au.upf
CELL_PARAMETERS angstrom
-1.710 -6.597 -3.326
1.698 -2.783 -6.846
1.842 2.848 6.782
ATOMIC_POSITIONS angstrom
Mg 0.063 -4.219 -0.815
Br -0.011 -8.317 -9.019
Br -0.007 -5.753 -6.239
Au 1.767 -2.312 -2.575
```


6.
Compound: BaS2N2
Source: Alexandria
Functional: PBE
Structure: optimized geometry Values from VASP.

Computed properties:
E_form (uncorrected): 1.911 eV per atom
density: 1.7 g/cm3
calculated volume: 44.466 Å³ per atom
symmetry: P4/mmm (123)
Fermi-level density of states: 7.23 states/eV/f.u.
energy above the most stable polymorph in this dataset: 2.034 eV per atom

Geometry as Quantum ESPRESSO input:
```
&SYSTEM
  ibrav = 0, nat = 5, ntyp = 3
/
ATOMIC_SPECIES
S 32.06 S.upf
N 14.01 N.upf
Ba 137.33 Ba.upf
CELL_PARAMETERS angstrom
-4.301 -3.455 -3.100
1.005 -4.819 3.976
-3.976 1.939 3.355
ATOMIC_POSITIONS angstrom
S -2.150 -1.728 -1.550
N -1.988 0.970 1.678
Ba 0.000 0.000 0.000
S 0.503 -2.409 1.988
N -3.636 -3.167 2.116
```


| no. | total moment (μB per formula unit) |
| --- | --- |
| 1 | 0.00 |
| 2 | 0.00 |
| 3 | 0.00 |
| 4 | 1.85 |
| 5 | 0.00 |
| 6 | 8.00 |